Record 1
Computed, not measured: crystalline CeNdGdCd at its relaxed geometry at the GGA-PBE level of DFT.

DFT formation energy = 0.029 eV per atom
E_tot = -6.395 eV per atom
volume = 462.7 Å³ per cell

abc: 7.734 7.734 7.734
angles: 90.00 90.00 90.00
Space group F-43m (No. 216)
Symmetry-distinct sites (fractional):
Ce  0.000  0.000  0.000 (multiplicity 4)
Nd  0.250  0.250  0.750 (multiplicity 4)
Gd  0.250  0.250  0.250 (multiplicity 4)
Cd  0.000  0.000  0.500 (multiplicity 4)

---

Record 2
Computed, not measured: crystalline CeGdCdNi at its relaxed geometry at the GGA-PBE level of DFT.

DFT formation energy = -0.132 eV per atom
E_tot = -6.810 eV per atom
volume = 383.9 Å³ per cell

abc: 7.268 7.268 7.268
angles: 90.00 90.00 90.00
Space group F-43m (No. 216)
Symmetry-distinct sites (fractional):
Ce  0.000  0.000  0.000 (multiplicity 4)
Gd  0.000  0.000  0.500 (multiplicity 4)
Cd  0.250  0.250  0.250 (multiplicity 4)
Ni  0.250  0.250  0.750 (multiplicity 4)

---

Record 3
Computed, not measured: crystalline CePrGdCd at its relaxed geometry at the GGA-PBE level of DFT.

DFT formation energy = 0.029 eV per atom
E_tot = -6.398 eV per atom
volume = 466.6 Å³ per cell

abc: 7.756 7.756 7.756
angles: 90.00 90.00 90.00
Space group F-43m (No. 216)
Symmetry-distinct sites (fractional):
Ce  0.000  0.000  0.000 (multiplicity 4)
Pr  0.250  0.250  0.750 (multiplicity 4)
Gd  0.250  0.250  0.250 (multiplicity 4)
Cd  0.000  0.000  0.500 (multiplicity 4)

---

Record 4
Computed, not measured: crystalline CeGdPuCd at its relaxed geometry at the GGA-PBE level of DFT.

DFT formation energy = 0.011 eV per atom
E_tot = -8.804 eV per atom
volume = 439.2 Å³ per cell

abc: 7.601 7.601 7.601
angles: 90.00 90.00 90.00
Space group F-43m (No. 216)
Symmetry-distinct sites (fractional):
Ce  0.000  0.000  0.000 (multiplicity 4)
Gd  0.000  0.000  0.500 (multiplicity 4)
Pu  0.250  0.250  0.750 (multiplicity 4)
Cd  0.250  0.250  0.250 (multiplicity 4)

---

Record 5
Computed, not measured: crystalline CeGdScCd at its relaxed geometry at the GGA-PBE level of DFT.

DFT formation energy = -0.009 eV per atom
E_tot = -6.824 eV per atom
volume = 439.8 Å³ per cell

abc: 7.605 7.605 7.605
angles: 90.00 90.00 90.00
Space group F-43m (No. 216)
Symmetry-distinct sites (fractional):
Ce  0.000  0.000  0.000 (multiplicity 4)
Gd  0.000  0.000  0.500 (multiplicity 4)
Sc  0.250  0.250  0.750 (multiplicity 4)
Cd  0.250  0.250  0.250 (multiplicity 4)

---

Record 6
Computed, not measured: crystalline CeGdCdSn at its relaxed geometry at the GGA-PBE level of DFT.

DFT formation energy = -0.452 eV per atom
E_tot = -6.685 eV per atom
volume = 443.3 Å³ per cell

abc: 7.625 7.625 7.625
angles: 90.00 90.00 90.00
Space group F-43m (No. 216)
Symmetry-distinct sites (fractional):
Ce  0.000  0.000  0.000 (multiplicity 4)
Gd  0.000  0.000  0.500 (multiplicity 4)
Cd  0.250  0.250  0.750 (multiplicity 4)
Sn  0.250  0.250  0.250 (multiplicity 4)

---

Record 7
Computed, not measured: crystalline CeGdCdTc at its relaxed geometry at the GGA-PBE level of DFT.

DFT formation energy = -0.019 eV per atom
E_tot = -7.843 eV per atom
volume = 375.9 Å³ per cell

abc: 7.217 7.217 7.217
angles: 90.00 90.00 90.00
Space group F-43m (No. 216)
Symmetry-distinct sites (fractional):
Ce  0.000  0.000  0.000 (multiplicity 4)
Gd  0.000  0.000  0.500 (multiplicity 4)
Cd  0.250  0.250  0.250 (multiplicity 4)
Tc  0.250  0.250  0.750 (multiplicity 4)

---

Record 8
Computed, not measured: crystalline CeGdTmCd at its relaxed geometry at the GGA-PBE level of DFT.

DFT formation energy = -0.004 eV per atom
E_tot = -6.354 eV per atom
volume = 457.5 Å³ per cell

abc: 7.706 7.706 7.706
angles: 90.00 90.00 90.00
Space group F-43m (No. 216)
Symmetry-distinct sites (fractional):
Ce  0.000  0.000  0.000 (multiplicity 4)
Gd  0.000  0.000  0.500 (multiplicity 4)
Tm  0.250  0.250  0.250 (multiplicity 4)
Cd  0.250  0.250  0.750 (multiplicity 4)

---

Record 9
Computed, not measured: crystalline CeGdZnCd at its relaxed geometry at the GGA-PBE level of DFT.

DFT formation energy = -0.223 eV per atom
E_tot = -5.774 eV per atom
volume = 413.2 Å³ per cell

abc: 7.448 7.448 7.448
angles: 90.00 90.00 90.00
Space group F-43m (No. 216)
Symmetry-distinct sites (fractional):
Ce  0.000  0.000  0.000 (multiplicity 4)
Gd  0.000  0.000  0.500 (multiplicity 4)
Zn  0.250  0.250  0.750 (multiplicity 4)
Cd  0.250  0.250  0.250 (multiplicity 4)

---

Record 10
Computed, not measured: crystalline Ce2CdGe2 at its relaxed geometry at the GGA-PBE level of DFT.

DFT formation energy = -0.618 eV per atom
E_tot = -5.021 eV per atom
volume = 240.9 Å³ per cell

abc: 7.481 7.481 4.305
angles: 90.00 90.00 90.00
Space group P4/mbm (No. 127)
Symmetry-distinct sites (fractional):
Ce  0.178  0.322  0.000 (multiplicity 4)
Cd  0.000  0.000  0.500 (multiplicity 2)
Ge  0.121  0.621  0.500 (multiplicity 4)

---

Record 11
Computed, not measured: crystalline CeCdGe at its relaxed geometry at the GGA-PBE level of DFT.

DFT formation energy = -0.314 eV per atom
E_tot = -4.136 eV per atom
volume = 317.4 Å³ per cell

abc: 6.821 6.821 6.821
angles: 90.00 90.00 90.00
Space group F-43m (No. 216)
Symmetry-distinct sites (fractional):
Ce  0.000  0.000  0.000 (multiplicity 4)
Cd  0.000  0.000  0.500 (multiplicity 4)
Ge  0.250  0.250  0.250 (multiplicity 4)

---

Record 12
Computed, not measured: crystalline CeCdGe2 at its relaxed geometry at the GGA-PBE level of DFT.

DFT formation energy = -0.164 eV per atom
E_tot = -4.185 eV per atom
volume = 89.4 Å³ per cell
offset from the most stable computed form = 312 meV/atom

abc: 3.678 3.678 6.608
angles: 90.00 90.00 90.00
Space group P4/mmm (No. 123)
Symmetry-distinct sites (fractional):
Ce  0.000  0.000  0.000 (multiplicity 1)
Cd  0.000  0.000  0.500 (multiplicity 1)
Ge  0.500  0.500  0.292 (multiplicity 2)

---

Record 13
Computed, not measured: crystalline CeCdGe at its relaxed geometry at the GGA-PBE level of DFT.

DFT formation energy = -0.431 eV per atom
E_tot = -4.253 eV per atom
volume = 148.0 Å³ per cell

abc: 3.994 4.302 8.820
angles: 102.42 90.08 90.01
Space group P1 (No. 1)
Symmetry-distinct sites (fractional):
Ce  0.000  0.000  0.000 (multiplicity 1)
Ce  0.499  0.835  0.628 (multiplicity 1)
Cd  0.000  0.205  0.383 (multiplicity 1)
Cd  0.500  0.628  0.245 (multiplicity 1)
Ge  0.500  0.461  0.911 (multiplicity 1)
Ge  0.999  0.374  0.716 (multiplicity 1)

---

Record 14
Computed, not measured: crystalline CeCdGe at its relaxed geometry at the GGA-PBE level of DFT.

DFT formation energy = -0.387 eV per atom
E_tot = -4.209 eV per atom
volume = 74.0 Å³ per cell

abc: 4.5230 4.5230 4.1763
angles: 90.00 90.00 120.00
Space group P3m1 (No. 156)
Symmetry-distinct sites (fractional):
Ce  0.0000  0.0000  0.0000 (multiplicity 1)
Cd  0.6667  0.3333  0.5459 (multiplicity 1)
Ge  0.3333  0.6667  0.4061 (multiplicity 1)

---

Record 15
Computed, not measured: crystalline Ce2Cd2Ge at its relaxed geometry at the GGA-PBE level of DFT.

DFT formation energy = -0.204 eV per atom
E_tot = -3.867 eV per atom
volume = 270.5 Å³ per cell

abc: 3.974 3.974 17.129
angles: 90.00 90.00 90.00
Space group I4/mmm (No. 139)
Symmetry-distinct sites (fractional):
Ce  0.000  0.000  0.080 (multiplicity 4)
Cd  0.000  0.500  0.250 (multiplicity 4)
Ge  0.000  0.000  0.500 (multiplicity 2)

---

Record 16
Computed, not measured: crystalline Ce6CdGe5 at its relaxed geometry at the GGA-PBE level of DFT.

DFT formation energy = -0.500 eV per atom
E_tot = -5.467 eV per atom
volume = 672.8 Å³ per cell

abc: 7.530 12.870 7.359
angles: 90.00 109.37 90.00
Space group C2/m (No. 12)
Symmetry-distinct sites (fractional):
Ce  0.229  0.000  0.254 (multiplicity 4)
Ce  0.232  0.178  0.735 (multiplicity 8)
Cd  0.000  0.500  0.000 (multiplicity 2)
Ge  0.000  0.000  0.500 (multiplicity 2)
Ge  0.000  0.170  0.000 (multiplicity 4)
Ge  0.000  0.347  0.500 (multiplicity 4)

---

Record 17
Computed, not measured: crystalline CeCdGe at its relaxed geometry at the GGA-PBE level of DFT.

DFT formation energy = -0.418 eV per atom
E_tot = -4.240 eV per atom
volume = 143.4 Å³ per cell

abc: 4.344 4.344 7.599
angles: 90.00 90.00 90.00
Space group P4/nmm (No. 129, origin choice 2)
Symmetry-distinct sites (fractional):
Ce  0.250  0.250  0.158 (multiplicity 2)
Cd  0.250  0.750  0.500 (multiplicity 2)
Ge  0.250  0.250  0.765 (multiplicity 2)

---

Record 18
Computed, not measured: crystalline Ce4CdGe2 at its relaxed geometry at the GGA-PBE level of DFT.

DFT formation energy = -0.306 eV per atom
E_tot = -5.147 eV per atom
volume = 595.6 Å³ per cell

abc: 4.3063 4.3063 37.0889
angles: 90.00 90.00 120.00
Space group R-3m (No. 166, hexagonal axes)
Symmetry-distinct sites (fractional):
Ce  0.0000  0.0000  0.1082 (multiplicity 6)
Ce  0.0000  0.0000  0.3127 (multiplicity 6)
Cd  0.0000  0.0000  0.5000 (multiplicity 3)
Ge  0.0000  0.0000  0.3987 (multiplicity 6)

---

Record 19
Computed, not measured: crystalline CeCdGe4 at its relaxed geometry at the GGA-PBE level of DFT.

DFT formation energy = -0.167 eV per atom
E_tot = -4.387 eV per atom
volume = 504.9 Å³ per cell

abc: 7.963 7.963 7.963
angles: 90.00 90.00 90.00
Space group F-43m (No. 216)
Symmetry-distinct sites (fractional):
Ce  0.000  0.000  0.000 (multiplicity 4)
Cd  0.250  0.250  0.750 (multiplicity 4)
Ge  0.125  0.125  0.375 (multiplicity 16)

---

Record 20
Computed, not measured: crystalline CeCd2Ge2 at its relaxed geometry at the GGA-PBE level of DFT.

DFT formation energy = -0.324 eV per atom
E_tot = -3.723 eV per atom
volume = 438.0 Å³ per cell

abc: 4.260 24.294 4.232
angles: 90.00 90.00 90.00
Space group Cmcm (No. 63)
Symmetry-distinct sites (fractional):
Ce  0.000  0.158  0.250 (multiplicity 4)
Cd  0.000  0.047  0.750 (multiplicity 4)
Cd  0.000  0.450  0.750 (multiplicity 4)
Ge  0.000  0.250  0.750 (multiplicity 4)
Ge  0.000  0.364  0.250 (multiplicity 4)

---

Record 21
Computed, not measured: crystalline CeCd2Ge at its relaxed geometry at the GGA-PBE level of DFT.

DFT formation energy = -0.347 eV per atom
E_tot = -3.442 eV per atom
volume = 94.6 Å³ per cell
offset from the most stable computed form = 0 meV/atom

abc: 4.319 4.319 5.068
angles: 90.00 90.00 90.00
Space group P4/mmm (No. 123)
Symmetry-distinct sites (fractional):
Ce  0.000  0.000  0.000 (multiplicity 1)
Cd  0.000  0.500  0.500 (multiplicity 2)
Ge  0.500  0.500  0.000 (multiplicity 1)

---

Record 22
Computed, not measured: crystalline Ce2CdGe at its relaxed geometry at the GGA-PBE level of DFT.

DFT formation energy = -0.014 eV per atom
E_tot = -4.364 eV per atom
volume = 297.4 Å³ per cell

abc: 3.1170 3.1170 35.3432
angles: 90.00 90.00 120.00
Space group R-3m (No. 166, hexagonal axes)
Symmetry-distinct sites (fractional):
Ce  0.0000  0.0000  0.0945 (multiplicity 6)
Cd  0.0000  0.0000  0.0000 (multiplicity 3)
Ge  0.0000  0.0000  0.5000 (multiplicity 3)

---

Record 23
Computed, not measured: crystalline Ce4CdGe at its relaxed geometry at the GGA-PBE level of DFT.

DFT formation energy = -0.269 eV per atom
E_tot = -5.147 eV per atom
volume = 600.1 Å³ per cell
offset from the most stable computed form = 0 meV/atom

abc: 9.107 12.568 5.603
angles: 90.00 110.64 90.00
Space group C2/c (No. 15)
Symmetry-distinct sites (fractional):
Ce  0.139  0.198  0.119 (multiplicity 8)
Ce  0.222  0.389  0.376 (multiplicity 8)
Cd  0.000  0.402  0.750 (multiplicity 4)
Ge  0.000  0.012  0.750 (multiplicity 4)

---

Record 24
Computed, not measured: crystalline CeCdGe at its relaxed geometry at the GGA-PBE level of DFT.

DFT formation energy = -0.132 eV per atom
E_tot = -3.954 eV per atom
volume = 149.7 Å³ per cell

abc: 4.085 4.085 8.973
angles: 90.00 90.00 90.00
Space group I4mm (No. 107)
Symmetry-distinct sites (fractional):
Ce  0.000  0.000  0.000 (multiplicity 2)
Cd  0.000  0.000  0.332 (multiplicity 2)
Ge  0.000  0.000  0.653 (multiplicity 2)

---

Record 25
Computed, not measured: crystalline Ce2CdGe at its relaxed geometry at the GGA-PBE level of DFT.

DFT formation energy = -0.258 eV per atom
E_tot = -4.608 eV per atom
volume = 241.0 Å³ per cell

abc: 7.142 4.116 8.534
angles: 90.00 106.15 90.00
Space group C2/m (No. 12)
Symmetry-distinct sites (fractional):
Ce  0.237  0.000  0.210 (multiplicity 4)
Cd  0.000  0.000  0.500 (multiplicity 2)
Ge  0.000  0.500  0.000 (multiplicity 2)

---

Record 26
Computed, not measured: crystalline CeCdGe2 at its relaxed geometry at the GGA-PBE level of DFT.

DFT formation energy = -0.476 eV per atom
E_tot = -4.497 eV per atom
volume = 350.0 Å³ per cell
offset from the most stable computed form = 0 meV/atom

abc: 4.254 4.254 19.345
angles: 90.00 90.00 90.00
Space group I4/mmm (No. 139)
Symmetry-distinct sites (fractional):
Ce  0.000  0.000  0.109 (multiplicity 4)
Cd  0.000  0.500  0.250 (multiplicity 4)
Ge  0.000  0.000  0.359 (multiplicity 4)
Ge  0.000  0.500  0.000 (multiplicity 4)

---

Record 27
Computed, not measured: crystalline CeCd2Ge at its relaxed geometry at the GGA-PBE level of DFT.

DFT formation energy = 0.235 eV per atom
E_tot = -2.861 eV per atom
volume = 285.7 Å³ per cell
offset from the most stable computed form = 581 meV/atom

abc: 3.0815 3.0815 34.7410
angles: 90.00 90.00 120.00
Space group R-3m (No. 166, hexagonal axes)
Symmetry-distinct sites (fractional):
Ce  0.0000  0.0000  0.0000 (multiplicity 3)
Cd  0.0000  0.0000  0.0938 (multiplicity 6)
Ge  0.0000  0.0000  0.5000 (multiplicity 3)

---

Record 28
Computed, not measured: crystalline Ce4CdGe at its relaxed geometry at the GGA-PBE level of DFT.

DFT formation energy = -0.190 eV per atom
E_tot = -5.068 eV per atom
volume = 280.3 Å³ per cell
offset from the most stable computed form = 79 meV/atom

abc: 7.835 9.122 5.131
angles: 90.00 130.16 90.00
Space group C2/m (No. 12)
Symmetry-distinct sites (fractional):
Ce  0.250  0.174  0.231 (multiplicity 8)
Cd  0.000  0.000  0.500 (multiplicity 2)
Ge  0.000  0.500  0.000 (multiplicity 2)